(1)
A relaxed structure of SnMoOs2I. Source: Alexandria via LeMat-Bulk, functional PBE-GGA.

The structure in POSCAR format:
```
SnMoOs2I
1.0
4.820 0.000 0.000
0.000 4.820 0.000
0.000 0.000 5.559
Sn Mo Os I
1 1 2 1
Direct
0.000 0.000 0.000 Sn
0.500 0.500 0.000 Mo
0.000 0.500 0.500 Os
0.500 0.000 0.500 Os
0.000 0.000 0.500 I
```

Computed properties:
- DFT total energy: -5.016 eV/atom
- Space group: No. 123
- Volume: 129.1 Å³ per cell
- Formation energy without anion corrections: 2753 meV/atom

(2)
A relaxed structure of TcMoOs2I. Source: Alexandria via LeMat-Bulk, functional PBE-GGA.

The structure in POSCAR format:
```
TcMoOs2I
1.0
4.773 0.000 0.000
0.000 4.773 0.000
0.000 0.000 4.733
Tc Mo Os I
1 1 2 1
Direct
0.000 0.000 0.000 Tc
0.500 0.500 0.000 Mo
0.000 0.500 0.500 Os
0.500 0.000 0.500 Os
0.000 0.000 0.500 I
```

Computed properties:
- DFT total energy: -6.289 eV/atom
- Space group: No. 123
- Volume: 107.8 Å³ per cell
- Formation energy without anion corrections: 2752 meV/atom

(3)
A relaxed structure of TeMoOsI2. Source: Alexandria via LeMat-Bulk, functional PBE-GGA.

The structure in POSCAR format:
```
TeMoOsI2
1.0
5.615 0.000 0.000
0.000 5.615 0.000
0.000 0.000 4.988
Te Mo Os I
1 1 1 2
Direct
0.000 0.000 0.000 Te
0.500 0.500 0.000 Mo
0.000 0.000 0.500 Os
0.000 0.500 0.500 I
0.500 0.000 0.500 I
```

Computed properties:
- DFT total energy: -4.305 eV/atom
- Space group: No. 123
- Volume: 157.2 Å³ per cell
- Formation energy without anion corrections: 1356 meV/atom
- Energy above the most stable polymorph in this dataset: 0.00 eV/f.u.

(4)
A relaxed structure of TeMoOsI2. Source: Alexandria via LeMat-Bulk, functional PBE-GGA.

The structure in POSCAR format:
```
TeMoOsI2
1.0
6.195 0.000 0.000
0.000 6.195 0.000
0.000 0.000 5.331
Te Mo Os I
1 1 1 2
Direct
0.000 0.000 0.000 Te
0.000 0.000 0.500 Mo
0.500 0.500 0.500 Os
0.000 0.500 0.000 I
0.500 0.000 0.000 I
```

Computed properties:
- DFT total energy: -3.466 eV/atom
- Space group: No. 123
- Volume: 204.6 Å³ per cell
- Formation energy without anion corrections: 2195 meV/atom
- Energy above the most stable polymorph in this dataset: 4.19 eV/f.u.

(5)
A relaxed structure of TeMoOsI2. Source: Alexandria via LeMat-Bulk, functional PBE-GGA.

The structure in POSCAR format:
```
TeMoOsI2
1.0
5.598 0.000 0.000
0.000 5.598 0.000
0.000 0.000 5.205
Te Mo Os I
1 1 1 2
Direct
0.000 0.000 0.000 Te
0.000 0.000 0.500 Mo
0.500 0.500 0.000 Os
0.000 0.500 0.500 I
0.500 0.000 0.500 I
```

Computed properties:
- DFT total energy: -3.997 eV/atom
- Space group: No. 123
- Volume: 163.1 Å³ per cell
- Formation energy without anion corrections: 1663 meV/atom
- Energy above the most stable polymorph in this dataset: 1.54 eV/f.u.

(6)
A relaxed structure of TlMo2OsI. Source: Alexandria via LeMat-Bulk, functional PBE-GGA.

The structure in POSCAR format:
```
TlMo2OsI
1.0
4.881 0.000 0.000
0.000 4.881 0.000
0.000 0.000 5.751
Tl Mo Os I
1 2 1 1
Direct
0.000 0.000 0.000 Tl
0.000 0.500 0.500 Mo
0.500 0.000 0.500 Mo
0.500 0.500 0.500 Os
0.500 0.500 0.000 I
```

Computed properties:
- DFT total energy: -5.869 eV/atom
- Space group: No. 123
- Volume: 137.0 Å³ per cell
- Formation energy without anion corrections: 1493 meV/atom